No. 1
A plane-wave DFT calculation with PBE was carried out for a geometry-optimized Tb2DyAlCd3Ga2 structure.

Properties
Total energy = -3.42 eV/atom

Lattice parameters (Å, degrees): 4.433 7.275 7.275 119.94 90.00 90.00
Sites, in units of the cell vectors:
Tb 0.000 0.216 0.784
Tb 0.000 0.784 0.216
Dy 0.000 0.649 0.649
Al 0.000 0.217 0.217
Cd 0.500 0.216 0.463
Cd 0.500 0.463 0.216
Cd 0.500 0.970 0.970
Ga 0.500 0.550 0.883
Ga 0.500 0.883 0.550

=====

No. 2
A plane-wave DFT calculation with PBE was carried out for a geometry-optimized Mg2Os structure.

Properties
Total energy = -4.52 eV/atom

Lattice parameters (Å, degrees): 5.021 5.021 4.563 90.00 90.00 120.00
Sites, in units of the cell vectors:
Mg 0.000 0.000 0.000
Mg 0.000 0.364 0.500
Mg 0.364 0.000 0.500
Mg 0.636 0.636 0.500
Os 0.333 0.667 0.000
Os 0.667 0.333 0.000

=====

No. 3
A plane-wave DFT calculation with PBE was carried out for a geometry-optimized AgOsO3 structure.

Properties
Total energy = -6.38 eV/atom

Lattice parameters (Å, degrees): 5.922 5.922 5.922 54.34 54.34 54.34
Sites, in units of the cell vectors:
Ag 0.129 0.129 0.129
Ag 0.871 0.871 0.871
Os 0.336 0.336 0.336
Os 0.664 0.664 0.664
O 0.064 0.457 0.684
O 0.316 0.936 0.543
O 0.457 0.684 0.064
O 0.543 0.316 0.936
O 0.684 0.064 0.457
O 0.936 0.543 0.316

=====

No. 4
A plane-wave DFT calculation with PBE was carried out for a geometry-optimized SrCdSO structure.

Properties
Total energy = -4.36 eV/atom

Lattice parameters (Å, degrees): 7.261 7.261 6.684 90.00 90.00 149.90
Sites, in units of the cell vectors:
Sr 0.086 0.914 0.500
Sr 0.914 0.086 0.000
Cd 0.341 0.659 0.431
Cd 0.659 0.341 0.931
S 0.292 0.708 0.797
S 0.708 0.292 0.297
O 0.066 0.934 0.854
O 0.934 0.066 0.354

=====

No. 5
A plane-wave DFT calculation with PBE was carried out for a geometry-optimized PaTaNO structure.

Properties
Total energy = -9.53 eV/atom
Energy relative to the lowest polymorph listed for this composition = 0.405 eV/atom

Lattice parameters (Å, degrees): 3.344 6.007 6.308 90.00 90.00 90.00
Sites, in units of the cell vectors:
Pa 0.000 0.167 0.000
Pa 0.000 0.833 0.500
Ta 0.500 0.325 0.454
Ta 0.500 0.675 0.954
N 0.500 0.394 0.150
N 0.500 0.606 0.650
O 0.000 0.190 0.642
O 0.000 0.810 0.142

=====

No. 6
A plane-wave DFT calculation with PBE was carried out for a geometry-optimized Tb2GdAl3CuGe2 structure.

Properties
Total energy = -4.90 eV/atom

Lattice parameters (Å, degrees): 4.189 7.040 7.040 120.01 90.00 90.00
Sites, in units of the cell vectors:
Tb 0.000 0.201 0.799
Tb 0.000 0.799 0.201
Gd 0.000 0.605 0.605
Al 0.500 0.201 0.434
Al 0.500 0.434 0.201
Al 0.500 0.969 0.969
Cu 0.000 0.201 0.201
Ge 0.500 0.535 0.868
Ge 0.500 0.868 0.535

=====

Q: Among the records above, which one has the highest total energy?
A: Tb2DyAlCd3Ga2

=====

Q: Among the records above, which one has the lowest total energy?
A: PaTaNO

=====

Q: total energy of number 6 (Tb2GdAl3CuGe2)?
A: -4.90 eV/atom